Here is crystalline PtSe2Br at its relaxed geometry from Alexandria via LeMat-Bulk. Energies are from PBE-GGA.

Its energy above the most stable polymorph in this dataset is 583 meV per atom. The size of the total moment comes out at 0.000 μB per formula unit. The calculation puts the density of states at the Fermi level at 4.65 states/eV/cell.

The structure belongs to space group I4/mmm (No. 139); the cell edges are 5.573, 5.573 and 5.382 Å and the angles 90.00°, 90.00° and 90.00°. The inequivalent atoms are Pt at (0.000, 0.000, 0.000), Se at (0.000, 0.500, 0.000) and Br at (0.000, 0.000, 0.500).



Here is crystalline PtSeBr2 at its relaxed geometry from Alexandria via LeMat-Bulk. Energies are from PBE-GGA.

As for the total energy: -2.944 eV per atom. The size of the total moment comes out at 0.000 μB per formula unit. The calculation puts the density of states at the Fermi level at 3.04 states/eV/cell.

The structure belongs to space group C2/m (No. 12); the cell edges are 8.474, 3.646 and 7.474 Å and the angles 90.00°, 103.50° and 90.00°. The inequivalent atoms are Pt at (0.000, 0.000, 0.000), Se at (0.000, 0.500, 0.500) and Br at (0.126, 0.500, 0.216).



Here is crystalline Pt2Se3Br at its relaxed geometry from Alexandria via LeMat-Bulk. Energies are from PBE-GGA.

As for the total energy: -4.314 eV per atom. The size of the total moment comes out at 0.000 μB per formula unit. The calculation puts the density of states at the Fermi level at 1.57 states/eV/cell.

The structure belongs to space group C2/m (No. 12); the cell edges are 13.627, 7.442 and 6.096 Å and the angles 90.00°, 103.57° and 90.00°. The inequivalent atoms are Pt at (0.000, 0.000, 0.000), Pt at (0.000, 0.500, 0.000), Pt at (0.250, 0.250, 0.000), Se at (0.105, 0.239, 0.204), Se at (0.139, 0.500, 0.783) and Br at (0.185, 0.000, 0.723).



Which formula does entry 2 have?
PtSeBr2